The following is a DFT calculation (PBE) of crystalline La2ErAs4Pd3 at its relaxed geometry.

- SG = P-4m2 (115)
- calculated formation energy (meV per atom) = -1019
- total DFT energy (no corrections) (eV per atom) = -5.88

Cell lengths 4.4854, 4.4854, 10.8044 Å; angles 90.00, 90.00, 90.00 degrees
Closest atoms and distances in Å follow each position.
Fractional coordinates of all 10 atoms:
1 Pd 0.0000 0.0000 0.5000  4 As 2.78
2 Pd 0.5000 0.0000 0.8859  5 As 2.52-2.56
3 Pd 0.0000 0.5000 0.1141  5 As 2.52-2.56
4 As 0.5000 0.0000 0.6526  3 Pd 2.52-2.78, 2 Er 2.78
5 As 0.5000 0.5000 0.0000  4 Pd 2.56
6 As 0.0000 0.0000 0.0000  4 Pd 2.56
7 As 0.0000 0.5000 0.3474  3 Pd 2.52-2.78, 2 Er 2.78
8 Er 0.5000 0.5000 0.5000  4 As 2.78
9 La 0.0000 0.5000 0.7830  8 As 3.24-3.47, 5 Pd 3.36-3.58
10 La 0.5000 0.0000 0.2170  8 As 3.24-3.47, 5 Pd 3.36-3.58



The following is a DFT calculation (PBE) of crystalline LaErAs2Pd5 at its relaxed geometry.

- SG = P4/mmm (123)
- calculated formation energy (meV per atom) = -774
- total DFT energy (no corrections) (eV per atom) = -5.75

Cell lengths 4.2949, 4.2949, 9.2814 Å; angles 90.00, 90.00, 90.00 degrees
Closest atoms and distances in Å follow each position.
Fractional coordinates of all 9 atoms:
1 As 0.5000 0.5000 0.1350  4 Pd 2.48, 1 As 2.51
2 As 0.5000 0.5000 0.8650  4 Pd 2.48, 1 As 2.51
3 Pd 0.5000 0.5000 0.5000  4 La 3.04, 8 Pd 3.04, 2 As 3.39
4 Pd 0.5000 0.0000 0.7317  2 As 2.48
5 Pd 0.0000 0.5000 0.7317  2 As 2.48
6 Pd 0.0000 0.5000 0.2683  2 As 2.48
7 Pd 0.5000 0.0000 0.2683  2 As 2.48
8 Er 0.0000 0.0000 0.0000  8 As 3.29, 8 Pd 3.29
9 La 0.0000 0.0000 0.5000  12 Pd 3.04



The following is a DFT calculation (PBE) of crystalline La2PmEr3As6 at its relaxed geometry.

- SG = C2/m (12)
- calculated formation energy (meV per atom) = -1525
- total DFT energy (no corrections) (eV per atom) = -6.21

Cell lengths 4.2117, 8.4095, 9.4025 Å; angles 102.80, 102.94, 90.00 degrees
Closest atoms and distances in Å follow each position.
Fractional coordinates of all 12 atoms:
1 As 0.6631 0.5920 0.3262  3 Er 2.91-2.92, 3 La 3.05
2 As 0.9963 0.2542 0.9926  3 Er 2.91-2.94, 2 Pm 3.01, 1 La 3.03
3 As 0.3369 0.4080 0.6738  3 Er 2.91-2.92, 3 La 3.05
4 As 0.3315 0.9267 0.6630  3 Er 2.91-2.94, 1 Pm 3.01, 2 La 3.03
5 As 0.0037 0.7458 0.0074  3 Er 2.91-2.94, 2 Pm 3.01, 1 La 3.03
6 As 0.6685 0.0733 0.3370  3 Er 2.91-2.94, 1 Pm 3.01, 2 La 3.03
7 Er 0.8334 0.1662 0.6668  6 As 2.91-2.94
8 Er 0.5000 0.5000 0.0000  6 As 2.91-2.94
9 Er 0.1666 0.8338 0.3332  6 As 2.91-2.94
10 La 0.8341 0.6682 0.6681  6 As 3.03-3.05
11 La 0.1659 0.3318 0.3319  6 As 3.03-3.05
12 Pm 0.5000 0.0000 0.0000  6 As 3.01



The following is a DFT calculation (PBE) of crystalline La3Pm2ErAs6 at its relaxed geometry.

- SG = C2/m (12)
- calculated formation energy (meV per atom) = -1540
- total DFT energy (no corrections) (eV per atom) = -6.27

Cell lengths 7.4182, 7.4182, 7.4164 Å; angles 99.60, 99.60, 120.00 degrees
Closest atoms and distances in Å follow each position.
Fractional coordinates of all 12 atoms:
1 Pm 0.6662 0.3338 0.0000  6 As 3.01
2 Pm 0.3338 0.6662 0.0000  6 As 3.01
3 As 0.5917 0.9200 0.7597  1 Er 2.96, 2 Pm 3.01, 3 La 3.05-3.09
4 As 0.0800 0.4083 0.2403  1 Er 2.96, 2 Pm 3.01, 3 La 3.05-3.09
5 As 0.7524 0.7524 0.2415  1 Er 2.96, 2 Pm 3.01, 3 La 3.06-3.09
6 As 0.2476 0.2476 0.7585  1 Er 2.96, 2 Pm 3.01, 3 La 3.06-3.09
7 As 0.9200 0.5917 0.7597  1 Er 2.96, 2 Pm 3.01, 3 La 3.05-3.09
8 As 0.4083 0.0800 0.2403  1 Er 2.96, 2 Pm 3.01, 3 La 3.05-3.09
9 La 0.5000 0.5000 0.5000  6 As 3.05-3.09
10 La 0.1677 0.8323 0.5000  6 As 3.05-3.09
11 La 0.8323 0.1677 0.5000  6 As 3.05-3.09
12 Er 0.0000 0.0000 0.0000  6 As 2.96



The following is a DFT calculation (PBE) of crystalline La3PrEr2As6 at its relaxed geometry.

- SG = C2/m (12)
- calculated formation energy (meV per atom) = -1527
- total DFT energy (no corrections) (eV per atom) = -6.24

Cell lengths 7.3968, 7.3968, 7.3901 Å; angles 99.61, 99.61, 120.00 degrees
Closest atoms and distances in Å follow each position.
Fractional coordinates of all 12 atoms:
1 As 0.5795 0.9202 0.7607  2 Er 2.95, 1 Pr 3.02, 3 La 3.03-3.09
2 As 0.0798 0.4205 0.2393  2 Er 2.95, 1 Pr 3.02, 3 La 3.03-3.09
3 As 0.4205 0.0798 0.2393  2 Er 2.95, 1 Pr 3.02, 3 La 3.03-3.09
4 As 0.9202 0.5795 0.7607  2 Er 2.95, 1 Pr 3.02, 3 La 3.03-3.09
5 As 0.7385 0.7385 0.2379  2 Er 2.95, 1 Pr 3.02, 3 La 3.02-3.08
6 As 0.2615 0.2615 0.7621  2 Er 2.95, 1 Pr 3.02, 3 La 3.02-3.08
7 La 0.1652 0.8348 0.5000  6 As 3.03-3.09
8 La 0.8348 0.1652 0.5000  6 As 3.03-3.09
9 La 0.5000 0.5000 0.5000  6 As 3.02-3.08
10 Pr 0.0000 0.0000 0.0000  6 As 3.02
11 Er 0.3328 0.6672 0.0000  6 As 2.95
12 Er 0.6672 0.3328 0.0000  6 As 2.95



The following is a DFT calculation (PBE) of crystalline La2Pr3ErAs6 at its relaxed geometry.

- SG = C2/m (12)
- calculated formation energy (meV per atom) = -1513
- total DFT energy (no corrections) (eV per atom) = -6.23

Cell lengths 4.2987, 8.5935, 9.6049 Å; angles 102.99, 102.93, 90.00 degrees
Closest atoms and distances in Å follow each position.
Fractional coordinates of all 12 atoms:
1 As 0.9988 0.2399 0.9977  2 Er 2.98, 3 Pr 3.02-3.10, 1 La 3.03
2 As 0.0012 0.7601 0.0023  2 Er 2.98, 3 Pr 3.02-3.10, 1 La 3.03
3 As 0.3338 0.4153 0.6676  3 Pr 3.03-3.04, 3 La 3.06-3.07
4 As 0.6662 0.5847 0.3324  3 Pr 3.03-3.04, 3 La 3.06-3.07
5 As 0.6629 0.0798 0.3258  1 Er 2.97, 3 Pr 3.02-3.10, 2 La 3.04
6 As 0.3371 0.9202 0.6742  1 Er 2.97, 3 Pr 3.02-3.10, 2 La 3.04
7 La 0.8350 0.6691 0.6700  6 As 3.03-3.07
8 La 0.1650 0.3309 0.3300  6 As 3.03-3.07
9 Pr 0.5000 0.5000 0.0000  6 As 3.03-3.10
10 Pr 0.8330 0.1654 0.6661  6 As 3.02-3.10
11 Pr 0.1670 0.8346 0.3339  6 As 3.02-3.10
12 Er 0.5000 0.0000 0.0000  6 As 2.97-2.98



The following is a DFT calculation (PBE) of crystalline La2PrEr3As6 at its relaxed geometry.

- SG = C2/m (12)
- calculated formation energy (meV per atom) = -1521
- total DFT energy (no corrections) (eV per atom) = -6.21

Cell lengths 4.2234, 8.4306, 9.4280 Å; angles 102.79, 102.94, 90.00 degrees
Closest atoms and distances in Å follow each position.
Fractional coordinates of all 12 atoms:
1 La 0.8337 0.6676 0.6674  6 As 3.04-3.05
2 La 0.1663 0.3324 0.3326  6 As 3.04-3.05
3 As 0.3304 0.9260 0.6609  3 Er 2.92-2.94, 1 Pr 3.04, 2 La 3.04
4 As 0.3369 0.4080 0.6738  3 Er 2.92, 3 La 3.05
5 As 0.6696 0.0740 0.3391  3 Er 2.92-2.94, 1 Pr 3.04, 2 La 3.04
6 As 0.0035 0.7428 0.0071  3 Er 2.92-2.93, 2 Pr 3.04, 1 La 3.04
7 As 0.9965 0.2572 0.9929  3 Er 2.92-2.93, 2 Pr 3.04, 1 La 3.04
8 As 0.6631 0.5920 0.3262  3 Er 2.92, 3 La 3.05
9 Er 0.8335 0.1665 0.6670  6 As 2.92-2.94
10 Er 0.5000 0.5000 0.0000  6 As 2.92-2.93
11 Er 0.1665 0.8335 0.3330  6 As 2.92-2.94
12 Pr 0.5000 0.0000 0.0000  6 As 3.04



The following is a DFT calculation (PBE) of crystalline La2ErAs3Pt4 at its relaxed geometry.

- SG = P-4m2 (115)
- calculated formation energy (meV per atom) = -1016
- total DFT energy (no corrections) (eV per atom) = -6.27

Cell lengths 4.3420, 4.3420, 11.2710 Å; angles 90.00, 90.00, 90.00 degrees
Closest atoms and distances in Å follow each position.
Fractional coordinates of all 10 atoms:
1 As 0.0000 0.5000 0.1270  5 Pt 2.48-2.60
2 As 0.5000 0.0000 0.8730  5 Pt 2.48-2.60
3 As 0.0000 0.0000 0.5000  4 Pt 2.77, 4 Er 3.07
4 Er 0.5000 0.5000 0.5000  4 Pt 2.77, 4 As 3.07
5 Pt 0.0000 0.0000 0.0000  4 As 2.60
6 Pt 0.5000 0.5000 0.0000  4 As 2.60
7 Pt 0.0000 0.5000 0.3471  3 As 2.48-2.77, 2 Er 2.77
8 Pt 0.5000 0.0000 0.6529  3 As 2.48-2.77, 2 Er 2.77
9 La 0.5000 0.0000 0.2177  4 As 3.24, 8 Pt 3.28-3.40
10 La 0.0000 0.5000 0.7823  4 As 3.24, 8 Pt 3.28-3.40



Q: Look up the total DFT energy (no corrections) of the second one.
A: -5.75 eV per atom



Q: The highest total DFT energy (no corrections) belongs to which entry?
A: LaErAs2Pd5